Entry from Alexandria: crystalline Ba2NiPAu at its relaxed geometry (PBE-GGA).

The structure belongs to space group P4/mmm (No. 123); the cell edges are 6.000, 6.000 and 4.197 Å and the angles 90.00°, 90.00° and 90.00°. The asymmetric unit holds Ba at (0.000, 0.500, 0.000), Ni at (0.000, 0.000, 0.000), P at (0.000, 0.000, 0.500) and Au at (0.500, 0.500, 0.500).

The calculation puts the final energy at -4.264 eV/atom. For the total magnetization, the calculation gives 0.0 Bohr magnetons per cell. The value obtained for the density of states at the Fermi level is 2.5 states/eV per cell. For the distance to the lowest polymorph of the same formula, the calculation gives 0.00 eV/f.u. The calculation puts the formation energy at -601 meV/atom.

***

Entry from Alexandria: crystalline BaNiPAu at its relaxed geometry (PBE-GGA).

The structure belongs to space group P4/nmm (No. 129, origin choice 2); the cell edges are 3.958, 3.958 and 11.414 Å and the angles 90.00°, 90.00° and 90.00°. The asymmetric unit holds Ba at (0.250, 0.250, 0.249), Ni at (0.250, 0.750, 0.000), P at (0.250, 0.250, 0.901) and Au at (0.250, 0.750, 0.500).

The calculation puts the final energy at -4.798 eV/atom. For the total magnetization, the calculation gives 0.0 Bohr magnetons per cell. The value obtained for the density of states at the Fermi level is 3.2 states/eV per cell. The calculation puts the formation energy at -701 meV/atom.

***

Entry from Alexandria: crystalline BaNi2P6Au at its relaxed geometry (PBE-GGA).

The structure belongs to space group R-3m (No. 166, hexagonal axes); the cell edges are 5.7890, 5.7890 and 25.0851 Å and the angles 90.00°, 90.00° and 120.00°. The asymmetric unit holds Ba at (0.0000, 0.0000, 0.0000), Ni at (0.0000, 0.0000, 0.2688), P at (0.0765, 0.5383, 0.0803) and Au at (0.0000, 0.0000, 0.5000).

The calculation puts the final energy at -5.024 eV/atom. For the total magnetization, the calculation gives 0.0 Bohr magnetons per cell. The value obtained for the density of states at the Fermi level is 9.9 states/eV per cell. The calculation puts the formation energy at -102 meV/atom.

***

Entry from Alexandria: crystalline Ba6NiPd2Au at its relaxed geometry (PBE-GGA).

The structure belongs to space group R3 (No. 146, hexagonal axes); the cell edges are 7.9780, 7.9780 and 22.5736 Å and the angles 90.00°, 90.00° and 120.00°. The asymmetric unit holds Ba at (0.0012, 0.3384, 0.0000), Ba at (0.0091, 0.6900, 0.1711), Ni at (0.0000, 0.0000, 0.2545), Pd at (0.0000, 0.0000, 0.0807), Pd at (0.0000, 0.0000, 0.5847) and Au at (0.0000, 0.0000, 0.7565).

The calculation puts the final energy at -3.432 eV/atom. For the total magnetization, the calculation gives 0.0 Bohr magnetons per cell. The value obtained for the density of states at the Fermi level is 20.7 states/eV per cell. The calculation puts the formation energy at -334 meV/atom.